Ac2Tb5Pm6: relaxed, PBE.

Results
Density   7.61 g/cm3
Uncorrected energy   -4.50 eV per atom

Cell: 12.080 20.661 3.704 Å, 90.00 90.00 90.00°
Atoms (fractional coordinates):
1 Ac 0.163 0.220 0.000
2 Ac 0.337 0.720 0.000
3 Ac 0.663 0.280 0.000
4 Ac 0.837 0.780 0.000
5 Tb 0.000 0.500 0.500
6 Tb 0.097 0.781 0.500
7 Tb 0.201 0.054 0.500
8 Tb 0.299 0.554 0.500
9 Tb 0.403 0.281 0.500
10 Tb 0.500 0.000 0.500
11 Tb 0.597 0.719 0.500
12 Tb 0.701 0.446 0.500
13 Tb 0.799 0.946 0.500
14 Tb 0.903 0.219 0.500
15 Pm 0.058 0.925 0.000
16 Pm 0.076 0.637 0.000
17 Pm 0.181 0.380 0.500
18 Pm 0.319 0.880 0.500
19 Pm 0.424 0.137 0.000
20 Pm 0.442 0.425 0.000
21 Pm 0.558 0.575 0.000
22 Pm 0.576 0.863 0.000
23 Pm 0.681 0.120 0.500
24 Pm 0.819 0.620 0.500
25 Pm 0.924 0.363 0.000
26 Pm 0.942 0.075 0.000